1 | A plane-wave DFT calculation with PBE-GGA was carried out for crystalline La2FeOs at its relaxed geometry.

Results
Mass density, Mg/m³: 7.73
Magnetization, μB/cell: 7.36

Unit cell a=4.1890 b=4.1890 c=22.2282 alpha=90.00 beta=90.00 gamma=120.00
Space group R3m (No. 160, hexagonal axes)
Asymmetric unit:
La1 0.0000 0.0000 0.0000 [3 per cell]
La2 0.0000 0.0000 0.1730 [3 per cell]
Fe1 0.0000 0.0000 0.4189 [3 per cell]
Os1 0.0000 0.0000 0.7541 [3 per cell]

---

2 | A plane-wave DFT calculation with PBE-GGA was carried out for crystalline La2FeOs at its relaxed geometry.

Results
Mass density, Mg/m³: 10.02
Magnetization, μB/cell: 0.00

Unit cell a=7.5189 b=7.5189 c=6.1439 alpha=90.00 beta=90.00 gamma=90.00
Space group I-42d (No. 122)
Asymmetric unit:
La1 0.2337 0.2500 0.1250 [8 per cell]
Fe1 0.0000 0.0000 0.0000 [4 per cell]
Os1 0.0000 0.0000 0.5000 [4 per cell]

---

Stability check: which of them is most stable? 1.

---

1 | A plane-wave DFT calculation with PBE-GGA was carried out for crystalline La2FeOs at its relaxed geometry.

Results
Mass density, Mg/m³: 9.52
Magnetization, μB/cell: 2.09

Unit cell a=5.0716 b=5.0716 c=3.5526 alpha=90.00 beta=90.00 gamma=90.00
Space group P4/mmm (No. 123)
Asymmetric unit:
La1 0.0000 0.5000 0.0000 [2 per cell]
Fe1 0.0000 0.0000 0.5000 [1 per cell]
Os1 0.5000 0.5000 0.5000 [1 per cell]

---

2 | A plane-wave DFT calculation with PBE-GGA was carried out for crystalline La2FeOs at its relaxed geometry.

Results
Mass density, Mg/m³: 8.68
Magnetization, μB/cell: 4.68

Unit cell a=7.6448 b=3.3921 c=7.8208 alpha=90.00 beta=98.69 gamma=90.00
Space group C2/m (No. 12)
Asymmetric unit:
La1 0.2498 0.0000 0.2272 [4 per cell]
Fe1 0.0000 0.0000 0.5000 [2 per cell]
Os1 0.0000 0.5000 0.0000 [2 per cell]

---

3 | A plane-wave DFT calculation with PBE-GGA was carried out for crystalline La2FeOs at its relaxed geometry.

Results
Mass density, Mg/m³: 9.00
Magnetization, μB/cell: 5.02

Unit cell a=3.6595 b=3.6595 c=24.9939 alpha=90.00 beta=90.00 gamma=120.00
Space group R-3m (No. 166, hexagonal axes)
Asymmetric unit:
La1 0.0000 0.0000 0.2492 [6 per cell]
Fe1 0.0000 0.0000 0.0000 [3 per cell]
Os1 0.0000 0.0000 0.5000 [3 per cell]

---

Stability check: which of them is most stable? 1.

---

1 | A plane-wave DFT calculation with PBE-GGA was carried out for crystalline La2Fe2P at its relaxed geometry.

Results
Mass density, Mg/m³: 5.52
Magnetization, μB/cell: 9.74

Unit cell a=8.0534 b=8.0534 c=3.9000 alpha=90.00 beta=90.00 gamma=90.00
Space group P4/mbm (No. 127)
Asymmetric unit:
La1 0.1861 0.3139 0.0000 [4 per cell]
Fe1 0.0947 0.5947 0.5000 [4 per cell]
P1 0.0000 0.0000 0.0000 [2 per cell]

---

2 | A plane-wave DFT calculation with PBE-GGA was carried out for crystalline La2Fe2P at its relaxed geometry.

Results
Mass density, Mg/m³: 6.49
Magnetization, μB/cell: 7.34

Unit cell a=3.5795 b=3.5795 c=16.7991 alpha=90.00 beta=90.00 gamma=90.00
Space group I4/mmm (No. 139)
Asymmetric unit:
La1 0.0000 0.0000 0.1017 [4 per cell]
Fe1 0.0000 0.5000 0.2500 [4 per cell]
P1 0.0000 0.0000 0.5000 [2 per cell]

---

Stability check: which of them is most stable? 2.